{
  "formula": "LiTa2Re2",
  "functional": "GGA-PBE",
  "state": "optimized geometry",
  "cell": [[-2.106, -3.591, -6.421], [7.356, -1.134, -1.778], [-0.047, -2.651, 1.498]],
  "species": ["Ta", "Ta", "Ta", "Ta", "Li", "Li", "Re", "Re", "Re", "Re"],
  "fractional_positions": [[0.149, 0.649, 0.500], [0.851, 0.351, 0.500], [0.351, 0.149, 0.500], [0.649, 0.851, 0.500], [0.000, 0.000, 0.000], [0.500, 0.500, 0.000], [0.645, 0.145, 0.000], [0.145, 0.355, 0.000], [0.355, 0.855, 0.000], [0.855, 0.645, 0.000]],
  "e_form_kj_per_mol_atoms": 24.2,
  "energy_ev_per_atom": -9.85,
  "dos_ef_per_ev_atom": 0.81,
  "m_tot_mub_per_cell": 0.0
}